[1]
Ba3ZnGa2Au6 | GGA-PBE | optimized geometry

Summary:
D(E_F) (states/eV/atom): 0.48
ΔH_f (0 K) (eV per atom): -0.49

Lattice parameters (Å, degrees): 6.8569 6.8569 8.3204 90.00 90.00 120.00
Closest atoms and distances in Å follow each position.
Space group P-3m1 (No. 164)
Symmetry-distinct sites (fractional):
1 Ba 0.0000 0.0000 0.0000  6 Au 3.44
2 Ba 0.3333 0.6667 0.6789  9 Au 3.43-3.47, 1 Ga 3.44
3 Zn 0.0000 0.0000 0.5000  6 Au 2.62
4 Ga 0.3333 0.6667 0.0929  3 Au 2.62
5 Au 0.1821 0.3642 0.3215  1 Ga 2.62, 1 Zn 2.62



[2]
Ba2Zn4GaAu3 | GGA-PBE | optimized geometry

Summary:
D(E_F) (states/eV/atom): 0.56
ΔH_f (0 K) (eV per atom): -0.45

Lattice parameters (Å, degrees): 4.5947 4.5947 11.0607 90.00 90.00 90.00
Closest atoms and distances in Å follow each position.
Space group P-4m2 (No. 115)
Symmetry-distinct sites (fractional):
1 Ba 0.0000 0.5000 0.2481  8 Zn 3.52-3.61, 6 Au 3.52-3.58, 2 Ga 3.58
2 Zn 0.0000 0.0000 0.5000  4 Au 2.70
3 Zn 0.0000 0.5000 0.8746  2 Ga 2.68, 3 Au 2.68-2.72
4 Zn 0.5000 0.5000 0.5000  4 Au 2.70
5 Ga 0.5000 0.5000 0.0000  4 Zn 2.68
6 Au 0.0000 0.0000 0.0000  4 Zn 2.68
7 Au 0.0000 0.5000 0.6284  5 Zn 2.70-2.72



[3]
Ba3Zn2GaAu6 | GGA-PBE | optimized geometry

Summary:
D(E_F) (states/eV/atom): 0.28
ΔH_f (0 K) (eV per atom): -0.45

Lattice parameters (Å, degrees): 6.7612 6.7612 8.5364 90.00 90.00 120.00
Closest atoms and distances in Å follow each position.
Space group P-3m1 (No. 164)
Symmetry-distinct sites (fractional):
1 Ba 0.0000 0.0000 0.0000  6 Au 3.47
2 Ba 0.3333 0.6667 0.6759  9 Au 3.39-3.52, 1 Zn 3.47
3 Zn 0.3333 0.6667 0.0826  3 Au 2.66
4 Ga 0.0000 0.0000 0.5000  6 Au 2.66
5 Au 0.1843 0.3686 0.3182  1 Ga 2.66, 1 Zn 2.66



Look up the ΔH_f (0 K) of the second one. -0.45 eV per atom



What is the ΔH_f (0 K) in the second record? -0.45 eV per atom